Entry 1:
Below is an optimized crystal structure of NaSr11Pt3O18, with properties calculated at the PBE level.

Geometry as POSCAR:
```
NaSr11Pt3O18
1.0
9.814 0.000 0.000
-4.907 8.499 0.000
0.000 0.000 11.931
Na Sr Pt O
2 22 6 36
direct
0.333 0.667 0.166
0.667 0.333 0.834
0.000 0.000 0.000
0.000 0.000 0.500
0.000 0.367 0.500
0.000 0.632 0.000
0.024 0.334 0.834
0.037 0.700 0.329
0.300 0.338 0.329
0.310 0.976 0.834
0.333 0.667 0.667
0.334 0.024 0.166
0.338 0.300 0.671
0.367 0.000 0.500
0.368 0.368 0.000
0.632 0.000 0.000
0.633 0.633 0.500
0.662 0.963 0.329
0.666 0.690 0.834
0.667 0.333 0.333
0.690 0.666 0.166
0.700 0.037 0.671
0.963 0.662 0.671
0.976 0.310 0.166
0.000 0.000 0.250
0.000 0.000 0.750
0.333 0.667 0.414
0.333 0.667 0.919
0.667 0.333 0.081
0.667 0.333 0.586
0.027 0.186 0.651
0.027 0.842 0.149
0.149 0.639 0.817
0.150 0.510 0.315
0.158 0.185 0.149
0.159 0.973 0.651
0.175 0.694 0.516
0.177 0.484 0.018
0.185 0.158 0.851
0.186 0.027 0.349
0.306 0.481 0.516
0.307 0.823 0.018
0.360 0.850 0.315
0.361 0.509 0.817
0.481 0.306 0.484
0.484 0.177 0.982
0.490 0.640 0.315
0.491 0.851 0.817
0.509 0.361 0.183
0.510 0.150 0.685
0.516 0.693 0.018
0.519 0.825 0.516
0.639 0.149 0.183
0.640 0.490 0.685
0.693 0.516 0.982
0.694 0.175 0.484
0.814 0.841 0.651
0.815 0.973 0.149
0.823 0.307 0.982
0.825 0.519 0.484
0.841 0.814 0.349
0.842 0.027 0.851
0.850 0.360 0.685
0.851 0.491 0.183
0.973 0.159 0.349
0.973 0.815 0.851
```

Computed properties:
Magnetization (μB per formula unit): 0.0
Calculated total energy (eV/cell): -397.22
Raw formation energy (eV/f.u.): -71.420
Symmetry: P321, No. 150

Entry 2:
Below is an optimized crystal structure of Tb4Pr5Sc2, with properties calculated at the PBE level.

Geometry as POSCAR:
```
Tb4Pr5Sc2
1.0
-1.748 4.662 11.497
1.748 -4.662 11.497
1.748 4.662 -11.497
Tb Pr Sc
4 5 2
direct
0.099 0.099 0.000
0.191 0.500 0.691
0.809 0.500 0.309
0.901 0.901 0.000
0.139 0.346 0.793
0.447 0.654 0.793
0.500 0.000 0.500
0.553 0.346 0.207
0.861 0.654 0.207
0.230 0.230 0.000
0.770 0.770 0.000
```

Computed properties:
Magnetization (μB per formula unit): 0.0
Calculated total energy (eV/cell): -52.55
E_form (meV/atom): 230
Symmetry: Immm, No. 71

Entry 3:
Below is an optimized crystal structure of LiTlInHg3, with properties calculated at the PBE level.

Geometry as POSCAR:
```
LiTlInHg3
1.0
1.930 -7.602 0.000
1.930 7.602 0.000
0.000 0.000 10.324
Li Tl In Hg
2 2 2 6
direct
0.000 0.000 0.000
0.000 0.000 0.500
0.220 0.780 0.750
0.780 0.220 0.250
0.459 0.541 0.250
0.541 0.459 0.750
0.111 0.889 0.250
0.348 0.652 0.000
0.348 0.652 0.500
0.652 0.348 0.000
0.652 0.348 0.500
0.889 0.111 0.750
```

Computed properties:
Magnetization (μB per formula unit): 0.0
Calculated total energy (eV/cell): -16.90
E_form (meV/atom): -88
Symmetry: Cmcm, No. 63

Entry 4:
Below is an optimized crystal structure of LaCoP2, with properties calculated at the PBE level.

Geometry as POSCAR:
```
LaCoP2
1.0
4.689 0.000 0.000
0.000 4.689 0.000
0.000 0.000 14.424
La Co P
4 4 8
direct
0.000 0.000 0.000
0.000 0.500 0.250
0.500 0.000 0.750
0.500 0.500 0.500
0.000 0.000 0.500
0.000 0.500 0.750
0.500 0.000 0.250
0.500 0.500 0.000
0.052 0.250 0.625
0.250 0.552 0.875
0.250 0.948 0.375
0.448 0.250 0.125
0.552 0.750 0.125
0.750 0.052 0.375
0.750 0.448 0.875
0.948 0.750 0.625
```

Computed properties:
Magnetization (μB per formula unit): 0.0
Calculated total energy (eV/cell): -103.94
E_form (meV/atom): -783
Symmetry: I-42d, No. 122

Entry 5:
Below is an optimized crystal structure of LaHoIn, with properties calculated at the PBE level.

Geometry as POSCAR:
```
LaHoIn
1.0
3.633 0.000 0.000
0.000 3.633 0.000
0.000 0.000 14.043
La Ho In
2 2 2
direct
0.000 0.000 0.000
0.500 0.500 0.500
0.000 0.000 0.306
0.500 0.500 0.806
0.000 0.000 0.665
0.500 0.500 0.165
```

Computed properties:
Magnetization (μB per formula unit): 0.0
Calculated total energy (eV/cell): -26.24
E_form (meV/atom): -292
Symmetry: I4mm, No. 107

Entry 6:
Below is an optimized crystal structure of PmEr5Tm2Sc, with properties calculated at the PBE level.

Geometry as POSCAR:
```
PmEr5Tm2Sc
1.0
2.753 -9.783 0.000
2.753 9.783 0.000
0.000 0.000 10.301
Pm Er Tm Sc
2 10 4 2
direct
0.087 0.913 0.500
0.913 0.087 0.000
0.020 0.980 0.786
0.121 0.879 0.069
0.201 0.799 0.754
0.223 0.777 0.369
0.482 0.518 0.068
0.518 0.482 0.568
0.777 0.223 0.869
0.799 0.201 0.254
0.879 0.121 0.569
0.980 0.020 0.286
0.387 0.613 0.784
0.389 0.611 0.362
0.611 0.389 0.862
0.613 0.387 0.284
0.304 0.696 0.062
0.696 0.304 0.562
```

Computed properties:
Magnetization (μB per formula unit): 0.0
Calculated total energy (eV/cell): -82.50
E_form (meV/atom): 176
Symmetry: Cmc2_1, No. 36

Entry 7:
Below is an optimized crystal structure of Ba3SrAg2O6, with properties calculated at the PBE level.

Geometry as POSCAR:
```
Ba3SrAg2O6
1.0
6.464 0.000 0.000
-3.232 5.598 0.000
0.000 0.000 6.882
Ba Sr Ag O
3 1 2 6
direct
0.000 0.000 0.000
0.333 0.667 0.605
0.667 0.333 0.395
0.000 0.000 0.500
0.333 0.667 0.129
0.667 0.333 0.871
0.171 0.341 0.293
0.171 0.829 0.293
0.341 0.171 0.707
0.659 0.829 0.293
0.829 0.171 0.707
0.829 0.659 0.707
```

Computed properties:
Magnetization (μB per formula unit): 2.1
Calculated total energy (eV/cell): -60.71
Raw formation energy (eV/f.u.): -17.805
Symmetry: P-3m1, No. 164

Entry 8:
Below is an optimized crystal structure of Cs3Ag2Br2Cl4, with properties calculated at the PBE level.

Geometry as POSCAR:
```
Cs3Ag2Br2Cl4
1.0
-2.576 2.576 14.604
2.576 -2.576 14.604
2.576 2.576 -14.604
Cs Ag Br Cl
3 2 2 4
direct
0.000 0.000 0.000
0.179 0.179 0.000
0.821 0.821 0.000
0.401 0.401 0.000
0.599 0.599 0.000
0.306 0.306 0.000
0.694 0.694 0.000
0.083 0.583 0.500
0.417 0.917 0.500
0.583 0.083 0.500
0.917 0.417 0.500
```

Computed properties:
Magnetization (μB per formula unit): 0.0
Calculated total energy (eV/cell): -32.68
Raw formation energy (eV/f.u.): -13.685
Symmetry: I4/mmm, No. 139

Entry 9:
Below is an optimized crystal structure of LaCd5Au6, with properties calculated at the PBE level.

Geometry as POSCAR:
```
LaCd5Au6
1.0
2.463 -7.313 0.000
2.463 7.313 0.000
0.000 0.000 7.003
La Cd Au
1 5 6
direct
0.000 0.000 0.000
0.000 0.000 0.500
0.332 0.668 0.000
0.339 0.661 0.500
0.661 0.339 0.500
0.668 0.332 0.000
0.174 0.826 0.264
0.174 0.826 0.736
0.500 0.500 0.265
0.500 0.500 0.735
0.826 0.174 0.264
0.826 0.174 0.736
```

Computed properties:
Magnetization (μB per formula unit): 0.0
Calculated total energy (eV/cell): -32.72
E_form (meV/atom): -296
Symmetry: Cmmm, No. 65

Entry 10:
Below is an optimized crystal structure of Ga2AgSb2, with properties calculated at the PBE level.

Geometry as POSCAR:
```
Ga2AgSb2
1.0
4.055 0.000 0.000
0.000 4.055 0.000
0.000 0.000 14.708
Ga Ag Sb
4 2 4
direct
0.000 0.500 0.250
0.000 0.500 0.750
0.500 0.000 0.250
0.500 0.000 0.750
0.000 0.000 0.000
0.500 0.500 0.500
0.000 0.000 0.390
0.000 0.000 0.610
0.500 0.500 0.110
0.500 0.500 0.890
```

Computed properties:
Magnetization (μB per formula unit): 0.0
Calculated total energy (eV/cell): -32.35
Raw formation energy (eV/f.u.): 0.977
Symmetry: I4/mmm, No. 139

Entry 11:
Below is an optimized crystal structure of Pr5YMg, with properties calculated at the PBE level.

Geometry as POSCAR:
```
Pr5YMg
1.0
7.920 -3.323 0.000
7.920 3.323 0.000
-6.617 0.000 9.169
Pr Y Mg
10 2 2
direct
0.010 0.990 0.750
0.070 0.559 0.897
0.165 0.670 0.424
0.330 0.835 0.076
0.441 0.930 0.603
0.559 0.070 0.397
0.670 0.165 0.924
0.835 0.330 0.576
0.930 0.441 0.103
0.990 0.010 0.250
0.492 0.508 0.750
0.508 0.492 0.250
0.000 0.500 0.500
0.500 0.000 0.000
```

Computed properties:
Magnetization (μB per formula unit): 0.0
Calculated total energy (eV/cell): -61.91
E_form (meV/atom): 143
Symmetry: C2/c, No. 15

Entry 12:
Below is an optimized crystal structure of OsS2IN, with properties calculated at the PBE level.

Geometry as POSCAR:
```
OsS2IN
1.0
5.169 0.000 0.000
0.000 5.169 0.000
0.000 0.000 3.873
Os S I N
1 2 1 1
direct
0.000 0.000 0.000
0.000 0.500 0.500
0.500 0.000 0.500
0.500 0.500 0.500
0.500 0.500 0.000
```

Computed properties:
Magnetization (μB per formula unit): 4.2
Calculated total energy (eV/cell): -17.83
Raw formation energy (eV/f.u.): 11.529
Symmetry: P4/mmm, No. 123

Question: What is the formula in the sixth record?
Answer: PmEr5Tm2Sc